Ba2BOs | GGA-PBE | relaxed Values from VASP.

```
&SYSTEM
  ibrav = 0, nat = 8, ntyp = 3
/
ATOMIC_SPECIES
B 10.81 B.upf
Ba 137.33 Ba.upf
Os 190.23 Os.upf
CELL_PARAMETERS angstrom
-4.377 -2.951 10.267
10.178 -4.522 3.039
3.473 -1.935 7.415
ATOMIC_POSITIONS crystal
B 0.250 0.750 0.500
Ba 0.423 0.125 0.250
Os 0.000 0.000 0.000
Ba 0.875 0.673 0.750
B 0.500 0.500 0.000
Os 0.750 0.250 0.500
Ba 0.327 0.625 0.250
Ba 0.375 0.577 0.750
```

Calculated values
Energy relative to the elements ... 0.34 eV/atom
Symmetry ... No. 122


Ta2TlP | GGA-PBE | relaxed Values from VASP.

```
&SYSTEM
  ibrav = 0, nat = 4, ntyp = 3
/
ATOMIC_SPECIES
Ta 180.95 Ta.upf
Tl 204.38 Tl.upf
P 30.97 P.upf
CELL_PARAMETERS angstrom
2.063 -1.679 4.432
1.200 4.264 2.664
-4.108 -2.418 -1.999
ATOMIC_POSITIONS crystal
Ta 0.801 0.801 0.000
Ta 0.199 0.199 0.000
Tl 0.500 0.000 0.500
P 0.000 0.500 0.500
```

Calculated values
Energy relative to the elements ... 0.11 eV/atom
ΔE to the lowest computed polymorph ... 173.0 meV per atom
Symmetry ... No. 71


Cu2SbPb2 | GGA-PBE | relaxed Values from VASP.

```
&SYSTEM
  ibrav = 0, nat = 5, ntyp = 3
/
ATOMIC_SPECIES
Pb 207.20 Pb.upf
Sb 121.76 Sb.upf
Cu 63.55 Cu.upf
CELL_PARAMETERS angstrom
3.477 0.000 0.000
0.000 3.477 0.000
1.739 1.739 9.741
ATOMIC_POSITIONS crystal
Pb 0.627 0.627 0.747
Sb 0.000 0.000 0.000
Cu 0.750 0.250 0.500
Pb 0.373 0.373 0.253
Cu 0.250 0.750 0.500
```

Calculated values
ΔE to the lowest computed polymorph ... 89.2 meV per atom
Symmetry ... No. 139
Energy relative to the elements, uncorrected ... 0.23 eV/atom


Na2GePd2 | GGA-PBE | relaxed Values from VASP.

```
&SYSTEM
  ibrav = 0, nat = 10, ntyp = 3
/
ATOMIC_SPECIES
Na 22.99 Na.upf
Pd 106.42 Pd.upf
Ge 72.64 Ge.upf
CELL_PARAMETERS angstrom
6.396 0.000 0.000
0.000 6.396 0.000
0.000 0.000 4.911
ATOMIC_POSITIONS crystal
Na 0.169 0.669 0.500
Na 0.669 0.831 0.500
Pd 0.651 0.151 0.000
Na 0.331 0.169 0.500
Pd 0.151 0.349 0.000
Na 0.831 0.331 0.500
Ge 0.500 0.500 0.000
Pd 0.849 0.651 0.000
Ge 0.000 0.000 0.000
Pd 0.349 0.849 0.000
```

Calculated values
Energy relative to the elements ... -0.31 eV/atom
ΔE to the lowest computed polymorph ... 0.0 meV per atom
Symmetry ... No. 127


In2AsPbS | GGA-PBE | relaxed Values from VASP.

```
&SYSTEM
  ibrav = 0, nat = 5, ntyp = 4
/
ATOMIC_SPECIES
S 32.06 S.upf
In 114.82 In.upf
Pb 207.20 Pb.upf
As 74.92 As.upf
CELL_PARAMETERS angstrom
5.249 0.000 0.000
0.000 5.579 0.000
0.000 0.000 5.249
ATOMIC_POSITIONS crystal
S 0.000 0.000 0.000
In 0.500 0.000 0.000
Pb 0.000 0.500 0.000
In 0.000 0.000 0.500
As 0.500 0.500 0.500
```

Calculated values
Symmetry ... No. 123
Energy relative to the elements, uncorrected ... 0.30 eV/atom


Mn2CoAs8 | GGA-PBE | relaxed Values from VASP.

```
&SYSTEM
  ibrav = 0, nat = 11, ntyp = 3
/
ATOMIC_SPECIES
As 74.92 As.upf
Mn 54.94 Mn.upf
Co 58.93 Co.upf
CELL_PARAMETERS angstrom
-2.874 3.418 -1.004
-2.451 -2.129 6.876
3.371 2.598 6.301
ATOMIC_POSITIONS crystal
As 0.894 0.363 0.363
As 0.235 0.176 0.694
Mn 0.174 0.821 0.821
Co 0.000 0.000 0.000
Mn 0.826 0.179 0.179
As 0.235 0.694 0.176
As 0.765 0.824 0.306
As 0.673 0.827 0.827
As 0.106 0.637 0.637
As 0.327 0.173 0.173
As 0.765 0.306 0.824
```

Calculated values
Energy relative to the elements ... 0.09 eV/atom
Symmetry ... No. 12


MgSc3 | GGA-PBE | relaxed Values from VASP.

```
&SYSTEM
  ibrav = 0, nat = 16, ntyp = 2
/
ATOMIC_SPECIES
Sc 44.96 Sc.upf
Mg 24.30 Mg.upf
CELL_PARAMETERS angstrom
6.430 0.000 0.000
0.000 5.648 0.000
0.000 0.000 10.618
ATOMIC_POSITIONS crystal
Sc 0.620 0.244 0.491
Sc 0.876 0.086 0.250
Sc 0.380 0.756 0.509
Sc 0.120 0.256 0.509
Sc 0.880 0.744 0.009
Mg 0.875 0.415 0.750
Mg 0.125 0.585 0.250
Mg 0.625 0.915 0.750
Sc 0.624 0.586 0.250
Sc 0.120 0.256 0.991
Sc 0.380 0.756 0.991
Sc 0.376 0.414 0.750
Sc 0.620 0.244 0.009
Sc 0.880 0.744 0.491
Sc 0.124 0.914 0.750
Mg 0.375 0.085 0.250
```

Calculated values
Energy relative to the elements ... 0.04 eV/atom
ΔE to the lowest computed polymorph ... 54.0 meV per atom
Symmetry ... No. 62


PaHSO2 | GGA-PBE | relaxed Values from VASP.

```
&SYSTEM
  ibrav = 0, nat = 10, ntyp = 4
/
ATOMIC_SPECIES
H 1.01 H.upf
Pa 231.04 Pa.upf
S 32.06 S.upf
O 16.00 O.upf
CELL_PARAMETERS angstrom
-1.174 -3.467 0.347
1.175 0.117 5.138
-6.355 2.150 -0.009
ATOMIC_POSITIONS crystal
H 0.250 0.406 0.328
Pa 0.750 0.824 0.268
S 0.250 0.738 0.940
O 0.250 0.070 0.380
S 0.750 0.262 0.060
H 0.750 0.594 0.672
Pa 0.250 0.176 0.732
O 0.750 0.930 0.620
O 0.250 0.598 0.358
O 0.750 0.402 0.642
```

Calculated values
Symmetry ... No. 11
Raw total energy ... -7.58 eV/atom


KMnAs4 | GGA-PBE | relaxed Values from VASP.

```
&SYSTEM
  ibrav = 0, nat = 6, ntyp = 3
/
ATOMIC_SPECIES
K 39.10 K.upf
As 74.92 As.upf
Mn 54.94 Mn.upf
CELL_PARAMETERS angstrom
0.000 4.049 4.049
4.049 0.000 4.049
4.049 4.049 0.000
ATOMIC_POSITIONS crystal
K 0.750 0.750 0.750
As 0.884 0.372 0.372
As 0.372 0.884 0.372
Mn 0.000 0.000 0.000
As 0.372 0.372 0.372
As 0.372 0.372 0.884
```

Calculated values
Energy relative to the elements ... 0.27 eV/atom
Symmetry ... No. 216


CuTe2W | GGA-PBE | relaxed Values from VASP.

```
&SYSTEM
  ibrav = 0, nat = 4, ntyp = 3
/
ATOMIC_SPECIES
Te 127.60 Te.upf
Cu 63.55 Cu.upf
W 183.84 W.upf
CELL_PARAMETERS angstrom
4.576 0.024 0.018
3.244 3.228 0.018
0.546 0.227 5.771
ATOMIC_POSITIONS crystal
Te 0.466 0.466 0.518
Cu 0.250 0.250 0.250
Te 0.034 0.034 0.982
W 0.750 0.750 0.750
```

Calculated values
ΔE to the lowest computed polymorph ... 253.2 meV per atom
Symmetry ... No. 12
Energy relative to the elements, uncorrected ... 0.54 eV/atom


Ca2InAs | GGA-PBE | relaxed Values from VASP.

```
&SYSTEM
  ibrav = 0, nat = 4, ntyp = 3
/
ATOMIC_SPECIES
As 74.92 As.upf
Ca 40.08 Ca.upf
In 114.82 In.upf
CELL_PARAMETERS angstrom
4.324 0.000 0.000
0.000 4.324 0.000
0.000 0.000 6.249
ATOMIC_POSITIONS crystal
As 0.500 0.500 0.811
Ca 0.000 0.000 0.930
In 0.000 0.000 0.448
Ca 0.500 0.500 0.311
```

Calculated values
Energy relative to the elements ... -0.41 eV/atom
ΔE to the lowest computed polymorph ... 314.4 meV per atom
Symmetry ... No. 99


TaMoAu2 | GGA-PBE | relaxed Values from VASP.

```
&SYSTEM
  ibrav = 0, nat = 4, ntyp = 3
/
ATOMIC_SPECIES
Au 196.97 Au.upf
Ta 180.95 Ta.upf
Mo 95.94 Mo.upf
CELL_PARAMETERS angstrom
-3.389 -3.175 2.905
2.195 -4.513 2.195
0.072 5.473 -0.218
ATOMIC_POSITIONS crystal
Au 0.008 0.008 0.000
Au 0.748 0.248 0.500
Ta 0.262 0.762 0.500
Mo 0.483 0.483 0.000
```

Calculated values
Energy relative to the elements ... 0.21 eV/atom
ΔE to the lowest computed polymorph ... 186.3 meV per atom
Symmetry ... No. 44